1.
VASP calculation (PBE-GGA) on a relaxed Fe2NiSnIr crystal.

Cell: 4.7045 4.7045 4.9518 Å, 90.00 90.00 90.00°
Closest atoms and distances in Å follow each position.
Positions (direct):
Fe (0.0000, 0.5000, 0.0000)  2 Ir 2.35
Fe (0.5000, 0.0000, 0.0000)  2 Ir 2.35
Ni (0.0000, 0.0000, 0.5000)  4 Sn 3.33, 8 Fe 3.42
Sn (0.5000, 0.5000, 0.5000)  2 Ir 2.48
Ir (0.5000, 0.5000, 0.0000)  4 Fe 2.35, 2 Sn 2.48

The symmetry is P4/mmm (123). The mass density comes out at 7.29 g/cm3. The value obtained for the density of states at the Fermi level is 5.9 states/eV per cell. The value obtained for the energy of formation from the pure elements is 1172 meV/atom. Its final energy is -29.7 eV/cell.

---

2.
VASP calculation (PBE-GGA) on a relaxed VFeNiIr crystal.

Cell: 3.6483 3.6919 3.7102 Å, 90.00 90.00 90.00°
Closest atoms and distances in Å follow each position.
Positions (direct):
V (0.0000, 0.0000, 0.0000)  4 Ir 2.60, 4 Fe 2.60, 4 Ni 2.62
Fe (0.5000, 0.0000, 0.5000)  4 Ni 2.60, 4 V 2.60, 4 Ir 2.62
Ni (0.0000, 0.5000, 0.5000)  4 Fe 2.60, 4 Ir 2.60, 4 V 2.62
Ir (0.5000, 0.5000, 0.0000)  4 V 2.60, 4 Ni 2.60, 4 Fe 2.62

As for the distance to the lowest polymorph of the same formula: 0.0 meV/atom. The symmetry is Pmmm (47). The mass density comes out at 11.89 g/cm3. The value obtained for the density of states at the Fermi level is 2.1 states/eV per cell. The value obtained for the energy of formation from the pure elements is -312 meV/atom. Its final energy is -33.5 eV/cell.

---

3.
VASP calculation (PBE-GGA) on a relaxed VFeNiIr crystal.

Cell: 4.1520 4.1520 4.1520 Å, 60.00 60.00 60.00°
Closest atoms and distances in Å follow each position.
Positions (direct):
V (0.0000, 0.0000, 0.0000)  4 Fe 2.54, 4 Ir 2.54
Fe (0.2500, 0.2500, 0.2500)  4 Ni 2.54, 4 V 2.54
Ni (0.5000, 0.5000, 0.5000)  4 Ir 2.54, 4 Fe 2.54
Ir (0.7500, 0.7500, 0.7500)  4 Ni 2.54, 4 V 2.54

As for the distance to the lowest polymorph of the same formula: 166.6 meV/atom. The symmetry is F-43m (216). The mass density comes out at 11.74 g/cm3. The value obtained for the density of states at the Fermi level is 3.8 states/eV per cell. The value obtained for the energy of formation from the pure elements is -145 meV/atom. Its final energy is -32.8 eV/cell.

---

4.
VASP calculation (PBE-GGA) on a relaxed V2FeNiIr2 crystal.

Cell: 7.2388 7.2388 7.2388 Å, 138.86 58.85 139.83°
Closest atoms and distances in Å follow each position.
Positions (direct):
V (0.1296, 0.2020, 0.3316)  2 Fe 2.30, 2 Ir 2.47-2.56, 2 Ni 2.55
V (0.3704, 0.7020, 0.0724)  2 Fe 2.30, 2 Ir 2.47-2.56, 2 Ni 2.55
V (0.6296, 0.2980, 0.9276)  2 Fe 2.30, 2 Ir 2.47-2.56, 2 Ni 2.55
V (0.8704, 0.7980, 0.6684)  2 Fe 2.30, 2 Ir 2.47-2.56, 2 Ni 2.55
Fe (0.2500, 0.2500, 0.0000)  4 V 2.30, 2 Fe 2.49, 2 Ni 2.54
Fe (0.7500, 0.7500, 0.0000)  4 V 2.30, 2 Fe 2.49, 2 Ni 2.54
Ni (0.2500, 0.7500, 0.5000)  2 Ni 2.49, 2 Fe 2.54, 4 V 2.55, 4 Ir 2.71
Ni (0.7500, 0.2500, 0.5000)  2 Ni 2.49, 2 Fe 2.54, 4 V 2.55, 4 Ir 2.71
Ir (0.1743, 0.6931, 0.8674)  5 V 2.47-2.65, 2 Ni 2.71
Ir (0.3257, 0.1931, 0.5189)  5 V 2.47-2.65, 2 Ni 2.71
Ir (0.6743, 0.8069, 0.4811)  5 V 2.47-2.65, 2 Ni 2.71
Ir (0.8257, 0.3069, 0.1326)  5 V 2.47-2.65, 2 Ni 2.71

The symmetry is Ibam (72). The mass density comes out at 12.52 g/cm3. The value obtained for the density of states at the Fermi level is 10.1 states/eV per cell. The value obtained for the energy of formation from the pure elements is -46 meV/atom. Its final energy is -101.0 eV/cell.

---

5.
VASP calculation (PBE-GGA) on a relaxed FeNiIrW crystal.

Cell: 4.2361 4.2361 4.2361 Å, 60.00 60.00 60.00°
Closest atoms and distances in Å follow each position.
Positions (direct):
Fe (0.0000, 0.0000, 0.0000)  4 W 2.59, 4 Ni 2.59
Ni (0.2500, 0.2500, 0.2500)  4 Ir 2.59, 4 Fe 2.59
Ir (0.5000, 0.5000, 0.5000)  4 W 2.59, 4 Ni 2.59
W (0.7500, 0.7500, 0.7500)  4 Fe 2.59, 4 Ir 2.59

As for the distance to the lowest polymorph of the same formula: 197.6 meV/atom. The symmetry is F-43m (216). The mass density comes out at 15.16 g/cm3. The value obtained for the density of states at the Fermi level is 4.3 states/eV per cell. The value obtained for the energy of formation from the pure elements is 45 meV/atom. Its final energy is -35.9 eV/cell.

---

6.
VASP calculation (PBE-GGA) on a relaxed FeNiIrW crystal.

Cell: 4.6351 4.6351 4.6351 Å, 132.59 132.59 69.30°
Closest atoms and distances in Å follow each position.
Positions (direct):
Fe (0.0000, 0.0000, 0.0000)  4 W 2.64, 4 Ni 2.67, 4 Ir 2.67
Ni (0.2500, 0.7500, 0.5000)  4 Ir 2.64, 4 Fe 2.67, 4 W 2.67
Ir (0.7500, 0.2500, 0.5000)  4 Ni 2.64, 4 Fe 2.67, 4 W 2.67
W (0.5000, 0.5000, 0.0000)  4 Fe 2.64, 4 Ni 2.67, 4 Ir 2.67

As for the distance to the lowest polymorph of the same formula: 0.0 meV/atom. The symmetry is I-4m2 (119). The mass density comes out at 15.38 g/cm3. The value obtained for the density of states at the Fermi level is 2.2 states/eV per cell. The value obtained for the energy of formation from the pure elements is -153 meV/atom. Its final energy is -36.7 eV/cell.

---

7.
VASP calculation (PBE-GGA) on a relaxed ZnFeNiIr crystal.

Cell: 4.3901 4.3901 4.3901 Å, 127.43 127.43 77.55°
Closest atoms and distances in Å follow each position.
Positions (direct):
Zn (0.0000, 0.0000, 0.0000)  4 Ni 2.59, 4 Ir 2.59, 4 Fe 2.75
Fe (0.5000, 0.5000, 0.0000)  4 Ni 2.59, 4 Ir 2.59, 4 Zn 2.75
Ni (0.7500, 0.2500, 0.5000)  4 Fe 2.59, 4 Zn 2.59, 4 Ir 2.75
Ir (0.2500, 0.7500, 0.5000)  4 Fe 2.59, 4 Zn 2.59, 4 Ni 2.75

As for the distance to the lowest polymorph of the same formula: 0.0 meV/atom. The symmetry is I-4m2 (119). The mass density comes out at 11.94 g/cm3. The value obtained for the density of states at the Fermi level is 1.7 states/eV per cell. The value obtained for the energy of formation from the pure elements is -129 meV/atom. Its final energy is -24.9 eV/cell.

---

8.
VASP calculation (PBE-GGA) on a relaxed ZnFeNi2Ir crystal.

Cell: 4.5697 4.5697 4.5930 Å, 90.00 90.00 90.00°
Closest atoms and distances in Å follow each position.
Positions (direct):
Zn (0.0000, 0.0000, 0.0000)  4 Fe 3.23, 8 Ni 3.24
Fe (0.5000, 0.5000, 0.0000)  2 Ir 2.30
Ni (0.0000, 0.5000, 0.5000)  2 Ir 2.28
Ni (0.5000, 0.0000, 0.5000)  2 Ir 2.28
Ir (0.5000, 0.5000, 0.5000)  4 Ni 2.28, 2 Fe 2.30

The symmetry is P4/mmm (123). The mass density comes out at 7.46 g/cm3. The value obtained for the density of states at the Fermi level is 7.4 states/eV per cell. The value obtained for the energy of formation from the pure elements is 1184 meV/atom. Its final energy is -24.2 eV/cell.

---

9.
VASP calculation (PBE-GGA) on a relaxed ZnFeNiIr crystal.

Cell: 4.1893 4.1893 4.1893 Å, 60.00 60.00 60.00°
Closest atoms and distances in Å follow each position.
Positions (direct):
Zn (0.0000, 0.0000, 0.0000)  4 Ni 2.57, 4 Ir 2.57
Fe (0.5000, 0.5000, 0.5000)  4 Ni 2.57, 4 Ir 2.57
Ni (0.2500, 0.2500, 0.2500)  4 Fe 2.57, 4 Zn 2.57
Ir (0.7500, 0.7500, 0.7500)  4 Fe 2.57, 4 Zn 2.57

As for the distance to the lowest polymorph of the same formula: 17.4 meV/atom. The symmetry is F-43m (216). The mass density comes out at 11.89 g/cm3. The value obtained for the density of states at the Fermi level is 2.8 states/eV per cell. The value obtained for the energy of formation from the pure elements is -111 meV/atom. Its final energy is -24.8 eV/cell.

---

10.
VASP calculation (PBE-GGA) on a relaxed ZnFe2NiIr crystal.

Cell: 4.4190 4.4190 4.7009 Å, 90.00 90.00 90.00°
Closest atoms and distances in Å follow each position.
Positions (direct):
Zn (0.0000, 0.0000, 0.0000)  2 Ir 2.35
Fe (0.0000, 0.5000, 0.5000)  2 Ir 2.21
Fe (0.5000, 0.0000, 0.5000)  2 Ir 2.21
Ni (0.5000, 0.5000, 0.0000)  4 Zn 3.12, 8 Fe 3.23
Ir (0.0000, 0.0000, 0.5000)  4 Fe 2.21, 2 Zn 2.35

The symmetry is P4/mmm (123). The mass density comes out at 7.74 g/cm3. The value obtained for the density of states at the Fermi level is 10.6 states/eV per cell. The value obtained for the energy of formation from the pure elements is 1532 meV/atom. Its final energy is -25.2 eV/cell.

---

11.
VASP calculation (PBE-GGA) on a relaxed NpFe4Ir crystal.

Cell: 4.9259 4.9259 4.9259 Å, 60.00 60.00 60.00°
Closest atoms and distances in Å follow each position.
Positions (direct):
Np (0.0000, 0.0000, 0.0000)  12 Fe 2.89, 4 Ir 3.02
Fe (0.3759, 0.3759, 0.3759)  6 Fe 2.44-2.48
Fe (0.3759, 0.3759, 0.8722)  6 Fe 2.44-2.48
Fe (0.3759, 0.8722, 0.3759)  6 Fe 2.44-2.48
Fe (0.8722, 0.3759, 0.3759)  6 Fe 2.44-2.48
Ir (0.7500, 0.7500, 0.7500)  12 Fe 2.89, 4 Np 3.02

The symmetry is F-43m (216). The mass density comes out at 12.82 g/cm3. The value obtained for the density of states at the Fermi level is 12.7 states/eV per cell. The value obtained for the energy of formation from the pure elements is 14 meV/atom. Its final energy is -55.6 eV/cell.

---

12.
VASP calculation (PBE-GGA) on a relaxed Np2FeIr crystal.

Cell: 9.8879 9.8879 9.8879 Å, 16.28 16.28 16.28°
Closest atoms and distances in Å follow each position.
Positions (direct):
Np (0.0798, 0.0798, 0.0798)  1 Fe 2.34
Np (0.9202, 0.9202, 0.9202)  1 Fe 2.34
Fe (0.0000, 0.0000, 0.0000)  2 Np 2.34
Ir (0.5000, 0.5000, 0.5000)  6 Ir 2.80, 6 Np 3.01

The symmetry is R-3m (166). The mass density comes out at 18.11 g/cm3. The value obtained for the density of states at the Fermi level is 6.6 states/eV per cell. The value obtained for the energy of formation from the pure elements is 297 meV/atom. Its final energy is -42.0 eV/cell.

---

Among the records above, which one has the lowest energy of formation from the pure elements? number 2

---

Number 8 is which compound? ZnFeNi2Ir

---

mass density of number 1 (Fe2NiSnIr)? 7.29 g/cm3

---

Among the records above, which one has the lowest energy of formation from the pure elements? number 2